Entry 1:
Compound: K4Ta2S11
Source: the Open Quantum Materials Database
Functional: GGA-PBE
Structure: relaxed

a = 13.312 Å, b = 7.498 Å, c = 18.162 Å
α = 90.00°, β = 90.00°, γ = 90.00°
Positions (direct):
K 0.728 0.163 0.091
K 0.228 0.837 0.091
K 0.038 0.288 0.191
K 0.538 0.712 0.191
K 0.714 0.296 0.343
K 0.214 0.704 0.343
K 0.088 0.316 0.492
K 0.588 0.684 0.492
K 0.772 0.163 0.591
K 0.272 0.837 0.591
K 0.462 0.288 0.691
K 0.962 0.712 0.691
K 0.786 0.296 0.843
K 0.286 0.704 0.843
K 0.412 0.316 0.992
K 0.912 0.684 0.992
S 0.178 0.239 0.044
S 0.678 0.761 0.044
S 0.432 0.100 0.146
S 0.932 0.900 0.146
S 0.813 0.471 0.189
S 0.313 0.529 0.189
S 0.546 0.256 0.194
S 0.046 0.744 0.194
S 0.237 0.096 0.269
S 0.737 0.904 0.269
S 0.482 0.033 0.334
S 0.982 0.967 0.334
S 0.481 0.473 0.342
S 0.981 0.527 0.342
S 0.259 0.273 0.356
S 0.759 0.727 0.356
S 0.902 0.080 0.421
S 0.402 0.920 0.421
S 0.341 0.484 0.491
S 0.841 0.516 0.491
S 0.586 0.246 0.499
S 0.086 0.754 0.499
S 0.322 0.239 0.544
S 0.822 0.761 0.544
S 0.068 0.100 0.646
S 0.568 0.900 0.646
S 0.687 0.471 0.689
S 0.187 0.529 0.689
S 0.954 0.256 0.694
S 0.454 0.744 0.694
S 0.263 0.096 0.769
S 0.763 0.904 0.769
S 0.018 0.033 0.834
S 0.518 0.967 0.834
S 0.019 0.473 0.842
S 0.519 0.527 0.842
S 0.241 0.273 0.856
S 0.741 0.727 0.856
S 0.598 0.080 0.921
S 0.098 0.920 0.921
S 0.159 0.484 0.991
S 0.659 0.516 0.991
S 0.914 0.246 0.999
S 0.414 0.754 0.999
Ta 0.380 0.298 0.252
Ta 0.880 0.702 0.252
Ta 0.440 0.240 0.436
Ta 0.940 0.760 0.436
Ta 0.120 0.298 0.752
Ta 0.620 0.702 0.752
Ta 0.060 0.240 0.936
Ta 0.560 0.760 0.936

Summary:
Spin magnetization: 0.00 Bohr magnetons per cell
VASP energy: -5.25 eV/atom
Symmetry: Pca2_1

***

Entry 2:
Compound: K4Ta2S11
Source: the Open Quantum Materials Database
Functional: GGA-PBE
Structure: relaxed

a = 13.315 Å, b = 7.505 Å, c = 18.161 Å
α = 90.00°, β = 90.00°, γ = 90.00°
Positions (direct):
K 0.087 0.183 0.029
K 0.587 0.817 0.029
K 0.715 0.200 0.179
K 0.215 0.800 0.179
K 0.039 0.209 0.330
K 0.539 0.791 0.330
K 0.730 0.338 0.431
K 0.230 0.662 0.431
K 0.413 0.183 0.529
K 0.913 0.817 0.529
K 0.785 0.200 0.679
K 0.285 0.800 0.679
K 0.461 0.209 0.830
K 0.961 0.791 0.830
K 0.770 0.338 0.931
K 0.270 0.662 0.931
S 0.585 0.253 0.024
S 0.085 0.747 0.024
S 0.340 0.017 0.032
S 0.840 0.983 0.032
S 0.902 0.419 0.101
S 0.402 0.581 0.101
S 0.259 0.230 0.167
S 0.759 0.770 0.167
S 0.480 0.029 0.180
S 0.980 0.971 0.180
S 0.482 0.468 0.188
S 0.982 0.532 0.188
S 0.238 0.409 0.254
S 0.738 0.591 0.254
S 0.547 0.245 0.327
S 0.047 0.755 0.327
S 0.813 0.023 0.334
S 0.313 0.977 0.334
S 0.436 0.402 0.376
S 0.936 0.598 0.376
S 0.179 0.262 0.479
S 0.679 0.738 0.479
S 0.915 0.253 0.524
S 0.415 0.747 0.524
S 0.160 0.017 0.532
S 0.660 0.983 0.532
S 0.598 0.419 0.601
S 0.098 0.581 0.601
S 0.241 0.230 0.667
S 0.741 0.770 0.667
S 0.020 0.029 0.680
S 0.520 0.971 0.680
S 0.018 0.468 0.688
S 0.518 0.532 0.688
S 0.262 0.409 0.754
S 0.762 0.591 0.754
S 0.953 0.245 0.827
S 0.453 0.755 0.827
S 0.687 0.023 0.834
S 0.187 0.977 0.834
S 0.064 0.402 0.876
S 0.564 0.598 0.876
S 0.321 0.262 0.979
S 0.821 0.738 0.979
Ta 0.439 0.261 0.086
Ta 0.939 0.739 0.086
Ta 0.381 0.206 0.271
Ta 0.881 0.794 0.271
Ta 0.061 0.261 0.586
Ta 0.561 0.739 0.586
Ta 0.119 0.206 0.771
Ta 0.619 0.794 0.771

Summary:
Spin magnetization: 0.00 Bohr magnetons per cell
VASP energy: -5.25 eV/atom
Symmetry: Pca2_1

***

Entry 3:
Compound: K3TaTe2S2
Source: the Open Quantum Materials Database
Functional: GGA-PBE
Structure: relaxed

a = 7.448 Å, b = 6.946 Å, c = 8.220 Å
α = 58.10°, β = 52.35°, γ = 69.55°
Positions (direct):
K 0.065 0.065 0.435
K 0.463 0.463 0.537
K 0.565 0.565 0.935
S 0.977 0.312 0.023
S 0.312 0.977 0.688
Ta 0.990 0.990 0.010
Te 0.633 0.995 0.005
Te 0.995 0.633 0.367

Summary:
Spin magnetization: 0.00 Bohr magnetons per cell
VASP energy: -4.74 eV/atom
Symmetry: Fmm2